A relaxed SmSi2IrOs crystal. Source: OQMD via LeMat-Bulk, functional PBE. Values from VASP.

```
&SYSTEM
  ibrav = 0, nat = 5, ntyp = 4
/
ATOMIC_SPECIES
Sm 150.36 Sm.upf
Si 28.09 Si.upf
Ir 192.22 Ir.upf
Os 190.23 Os.upf
CELL_PARAMETERS angstrom
-2.082 2.082 4.947
2.082 -2.082 4.947
2.082 2.082 -4.947
ATOMIC_POSITIONS angstrom
Sm 0.000 0.000 0.000
Si 0.000 0.000 3.688
Si 0.000 0.000 6.206
Ir 0.000 2.082 2.474
Os 2.082 0.000 2.474
```

E_tot   -40.24 eV/cell